Entry 1:
This record from Alexandria describes crystalline Li3ZnBr at its relaxed geometry. The functional is PBE.

Unit cell a=4.889 b=4.889 c=4.889 alpha=90.00 beta=90.00 gamma=90.00
Atoms (fractional coordinates):
Zn  0.500  0.500  0.500
Br  0.000  0.000  0.000
Li  0.000  0.500  0.000
Li  0.000  0.000  0.500
Li  0.500  0.000  0.000

The space group is Pm-3m, No. 221. The energy above the most stable polymorph in this dataset comes out at 0 meV per atom.

Entry 2:
This record from Alexandria describes crystalline CaTb2Nd3Y6 at its relaxed geometry. The functional is PBE.

Unit cell a=6.279 b=6.279 c=11.954 alpha=95.01 beta=95.01 gamma=120.00
Atoms (fractional coordinates):
Ca  0.000  0.000  0.000
Tb  0.333  0.667  0.000
Tb  0.667  0.333  0.000
Nd  0.165  0.835  0.500
Nd  0.835  0.165  0.500
Nd  0.500  0.500  0.500
Y  0.916  0.577  0.750
Y  0.745  0.745  0.250
Y  0.084  0.423  0.250
Y  0.577  0.916  0.750
Y  0.255  0.255  0.750
Y  0.423  0.084  0.250

The space group is C2/m, No. 12. As for the total energy: -5.31 eV/atom.

Entry 3:
This record from Alexandria describes crystalline V3Rh5 at its relaxed geometry. The functional is PBE.

Unit cell a=5.411 b=5.411 c=4.328 alpha=90.00 beta=90.00 gamma=119.49
Each line ends with the local moment (μB).
Atoms (fractional coordinates):
V  0.910  0.090  0.000  0.20
V  0.583  0.417  0.500  0.00
V  0.087  0.913  0.500  0.13
Rh  0.416  0.584  0.000  -0.01
Rh  0.592  0.910  0.500  -0.01
Rh  0.090  0.408  0.500  -0.01
Rh  0.411  0.089  0.000  -0.01
Rh  0.911  0.589  0.000  -0.01

The space group is Amm2, No. 38. As for the total energy: -8.38 eV/atom.

Entry 4:
This record from Alexandria describes crystalline Nd2Sm3Hg4 at its relaxed geometry. The functional is PBE.

Unit cell a=7.069 b=8.320 c=9.803 alpha=90.00 beta=111.13 gamma=90.00
Atoms (fractional coordinates):
Nd  0.095  0.586  0.189
Nd  0.905  0.414  0.811
Nd  0.405  0.086  0.811
Nd  0.595  0.914  0.189
Sm  0.000  0.000  0.000
Sm  0.500  0.500  0.000
Sm  0.511  0.750  0.521
Sm  0.989  0.250  0.479
Sm  0.489  0.250  0.479
Sm  0.011  0.750  0.521
Hg  0.683  0.750  0.866
Hg  0.817  0.250  0.134
Hg  0.317  0.250  0.134
Hg  0.183  0.750  0.866
Hg  0.166  0.970  0.332
Hg  0.834  0.030  0.668
Hg  0.334  0.470  0.668
Hg  0.666  0.530  0.332

The space group is Cmce, No. 64. As for the total energy: -3.09 eV/atom.

Entry 5:
This record from Alexandria describes crystalline Er4HgPd at its relaxed geometry. The functional is PBE.

Unit cell a=6.954 b=7.067 c=7.143 alpha=90.00 beta=93.04 gamma=90.00
Atoms (fractional coordinates):
Er  0.870  0.649  0.170
Er  0.630  0.149  0.830
Er  0.327  0.342  0.351
Er  0.173  0.842  0.649
Er  0.130  0.351  0.830
Er  0.370  0.851  0.170
Er  0.673  0.658  0.649
Er  0.827  0.158  0.351
Hg  0.000  0.000  0.000
Hg  0.500  0.500  0.000
Pd  0.500  0.000  0.500
Pd  0.000  0.500  0.500

The space group is P2_1/c, No. 14. The energy above the most stable polymorph in this dataset comes out at 224 meV per atom.

Entry 6:
This record from Alexandria describes crystalline CdAuCl2 at its relaxed geometry. The functional is PBE.

Unit cell a=3.969 b=3.969 c=7.652 alpha=90.00 beta=90.00 gamma=121.48
Atoms (fractional coordinates):
Cl  0.000  0.000  0.017
Cl  0.000  0.000  0.483
Au  0.500  0.500  0.250
Cd  0.500  0.500  0.750

The space group is Cmmm, No. 65. The energy above the most stable polymorph in this dataset comes out at 285 meV per atom.

Entry 7:
This record from Alexandria describes crystalline Sm13Dy3 at its relaxed geometry. The functional is PBE.

Unit cell a=7.326 b=8.592 c=8.592 alpha=95.11 beta=90.00 gamma=90.00
Atoms (fractional coordinates):
Sm  0.751  0.960  0.543
Sm  0.750  0.541  0.459
Sm  0.751  0.457  0.040
Sm  0.000  0.709  0.793
Sm  0.000  0.207  0.291
Sm  0.000  0.793  0.207
Sm  0.249  0.960  0.543
Sm  0.250  0.541  0.459
Sm  0.249  0.457  0.040
Sm  0.500  0.291  0.709
Sm  0.500  0.710  0.793
Sm  0.500  0.207  0.290
Sm  0.500  0.792  0.208
Dy  0.750  0.043  0.957
Dy  0.000  0.290  0.710
Dy  0.250  0.043  0.957

The space group is Amm2, No. 38. As for the total energy: -4.67 eV/atom.

Entry 8:
This record from Alexandria describes crystalline MgZn2W at its relaxed geometry. The functional is PBE.

Unit cell a=3.918 b=3.918 c=9.663 alpha=78.30 beta=78.30 gamma=90.00
Atoms (fractional coordinates):
Zn  0.649  0.125  0.250
Zn  0.101  0.625  0.250
Zn  0.375  0.351  0.750
Zn  0.875  0.899  0.750
Mg  0.500  0.500  0.000
Mg  0.250  0.750  0.500
W  0.000  0.000  0.000
W  0.750  0.250  0.500

The space group is I-42d, No. 122. As for the total energy: -3.48 eV/atom.

Entry 9:
This record from Alexandria describes crystalline AcLa9Tb2 at its relaxed geometry. The functional is PBE.

Unit cell a=5.259 b=5.259 c=15.815 alpha=90.00 beta=90.00 gamma=90.00
Atoms (fractional coordinates):
Ac  0.000  0.000  0.000
La  0.500  0.500  0.000
La  0.500  0.500  0.337
La  0.500  0.500  0.663
La  0.500  0.000  0.173
La  0.500  0.000  0.500
La  0.500  0.000  0.827
La  0.000  0.500  0.173
La  0.000  0.500  0.500
La  0.000  0.500  0.827
Tb  0.000  0.000  0.336
Tb  0.000  0.000  0.664

The space group is P4/mmm, No. 123. As for the total energy: -4.80 eV/atom.

Entry 10:
This record from Alexandria describes crystalline BeHg at its relaxed geometry. The functional is PBE.

Unit cell a=3.137 b=3.137 c=3.137 alpha=90.00 beta=90.00 gamma=90.00
Atoms (fractional coordinates):
Be  0.000  0.000  0.000
Hg  0.500  0.500  0.500

The space group is Pm-3m, No. 221. The energy above the most stable polymorph in this dataset comes out at 295 meV per atom.

Entry 11:
This record from Alexandria describes crystalline Sr2Ge2Au7 at its relaxed geometry. The functional is PBE.

Unit cell a=4.385 b=8.583 c=8.583 alpha=122.13 beta=90.08 gamma=90.08
Atoms (fractional coordinates):
Sr  0.500  0.805  0.195
Sr  0.500  0.195  0.805
Ge  0.003  0.350  0.350
Ge  0.997  0.650  0.650
Au  0.000  0.480  0.145
Au  0.000  0.855  0.520
Au  0.000  0.520  0.855
Au  0.000  0.145  0.480
Au  0.498  0.801  0.801
Au  0.000  0.000  0.000
Au  0.502  0.199  0.199

The space group is C2/m, No. 12. As for the total energy: -3.60 eV/atom.

Entry 12:
This record from Alexandria describes crystalline NaCdIn2Pt at its relaxed geometry. The functional is PBE.

Unit cell a=5.183 b=5.183 c=5.325 alpha=90.00 beta=90.00 gamma=90.00
Atoms (fractional coordinates):
Na  0.500  0.500  0.500
Cd  0.000  0.000  0.500
Pt  0.000  0.000  0.000
In  0.000  0.500  0.000
In  0.500  0.000  0.000

The space group is P4/mmm, No. 123. The energy above the most stable polymorph in this dataset comes out at 0 meV per atom.

Copy entry 10 word for word.
This record from Alexandria describes crystalline BeHg at its relaxed geometry. The functional is PBE.

Unit cell a=3.137 b=3.137 c=3.137 alpha=90.00 beta=90.00 gamma=90.00
Atoms (fractional coordinates):
Be  0.000  0.000  0.000
Hg  0.500  0.500  0.500

The space group is Pm-3m, No. 221. The energy above the most stable polymorph in this dataset comes out at 295 meV per atom.